No. 1
A relaxed structure of AcClO. Source: Alexandria via LeMat-Bulk, functional GGA-PBEsol.

Values from the calculation:
V = 124.6 Å³ per cell
ΔE_f (raw) = -3.183 eV per atom
Fermi-level density of states = 0.00 states/eV/f.u.

Cell and atoms, written as CIF:
```
data_AcClO
_cell_length_a 4.2082
_cell_length_b 4.2082
_cell_length_c 7.0368
_cell_angle_alpha 90.00
_cell_angle_beta 90.00
_cell_angle_gamma 90.00
_space_group_name_H-M_alt 'P 4/n m m'
_space_group_IT_number 129
loop_
_space_group_symop_operation_xyz
'x,y,z'
'-x,-y,-z'
'-y+1/2,x,z'
'y+1/2,-x,-z'
'-x+1/2,-y+1/2,z'
'x+1/2,y+1/2,-z'
'y,-x+1/2,z'
'-y,x+1/2,-z'
'x+1/2,-y,-z'
'-x+1/2,y,z'
'-y,-x,-z'
'y,x,z'
'-x,y+1/2,-z'
'x,-y+1/2,z'
'y+1/2,x+1/2,-z'
'-y+1/2,-x+1/2,z'
loop_
_atom_site_label
_atom_site_type_symbol
_atom_site_fract_x
_atom_site_fract_y
_atom_site_fract_z
_atom_site_occupancy
Ac1 Ac 0.2500 0.2500 0.1796 1
Cl1 Cl 0.2500 0.2500 0.6313 1
O1 O 0.2500 0.7500 0.0000 1
```

No. 2
A relaxed structure of Be2HgIr. Source: Alexandria via LeMat-Bulk, functional GGA-PBEsol.

Values from the calculation:
E_form = 0.04 eV per atom
V = 109.3 Å³ per cell
Fermi-level density of states = 0.96 states/eV/f.u.

Cell and atoms, written as CIF:
```
data_Be2HgIr
_cell_length_a 7.9190
_cell_length_b 2.9990
_cell_length_c 4.7365
_cell_angle_alpha 90.00
_cell_angle_beta 103.69
_cell_angle_gamma 90.00
_space_group_name_H-M_alt 'C 1 2/m 1'
_space_group_IT_number 12
_space_group_name_Hall '-C 2y'
loop_
_atom_site_label
_atom_site_type_symbol
_atom_site_fract_x
_atom_site_fract_y
_atom_site_fract_z
_atom_site_occupancy
Be1 Be 0.2258 0.0000 0.1428 1
Hg1 Hg 0.0000 0.0000 0.5000 1
Ir1 Ir 0.0000 0.5000 0.0000 1
```

No. 3
A relaxed structure of PIrCl2. Source: Alexandria via LeMat-Bulk, functional GGA-PBEsol.

Values from the calculation:
V = 82.1 Å³ per cell
ΔE_f (raw) = -0.668 eV per atom
Fermi-level density of states = 0.00 states/eV/f.u.
Polymorph energy (0 for the lowest one) = 0.000 eV per atom

Cell and atoms, written as CIF:
```
data_PIrCl2
_cell_length_a 3.4923
_cell_length_b 3.4923
_cell_length_c 7.7777
_cell_angle_alpha 90.00
_cell_angle_beta 90.00
_cell_angle_gamma 120.00
_space_group_name_H-M_alt 'P 3 m 1'
_space_group_IT_number 156
_space_group_name_Hall 'P 3 -2"'
loop_
_atom_site_label
_atom_site_type_symbol
_atom_site_fract_x
_atom_site_fract_y
_atom_site_fract_z
_atom_site_occupancy
P1 P 0.0000 0.0000 0.0000 1
Ir1 Ir 0.3333 0.6667 0.1304 1
Cl1 Cl 0.0000 0.0000 0.7400 1
Cl2 Cl 0.6667 0.3333 0.3347 1
```

No. 4
A relaxed structure of Be2AuI. Source: Alexandria via LeMat-Bulk, functional GGA-PBEsol.

Values from the calculation:
V = 316.2 Å³ per cell
ΔE_f (raw) = 0.364 eV per atom
Fermi-level density of states = 1.13 states/eV/f.u.

Cell and atoms, written as CIF:
```
data_Be2AuI
_cell_length_a 5.8496
_cell_length_b 5.8496
_cell_length_c 9.2408
_cell_angle_alpha 90.00
_cell_angle_beta 90.00
_cell_angle_gamma 90.00
_space_group_name_H-M_alt 'I -4 2 d'
_space_group_IT_number 122
_space_group_name_Hall 'I -4 2bw'
loop_
_atom_site_label
_atom_site_type_symbol
_atom_site_fract_x
_atom_site_fract_y
_atom_site_fract_z
_atom_site_occupancy
Be1 Be 0.2139 0.7500 0.1250 1
Au1 Au 0.0000 0.0000 0.0000 1
I1 I 0.0000 0.0000 0.5000 1
```

No. 5
A relaxed structure of BaZrSb2. Source: Alexandria via LeMat-Bulk, functional GGA-PBEsol.

Values from the calculation:
V = 223.7 Å³ per cell
ΔE_f (raw) = -0.277 eV per atom
Fermi-level density of states = 2.71 states/eV/f.u.
Polymorph energy (0 for the lowest one) = 0.533 eV per atom

Cell and atoms, written as CIF:
```
data_BaZrSb2
_cell_length_a 4.5659
_cell_length_b 4.5659
_cell_length_c 10.7318
_cell_angle_alpha 90.00
_cell_angle_beta 90.00
_cell_angle_gamma 90.00
_space_group_name_H-M_alt 'I -4 m 2'
_space_group_IT_number 119
_space_group_name_Hall 'I -4 -2'
loop_
_atom_site_label
_atom_site_type_symbol
_atom_site_fract_x
_atom_site_fract_y
_atom_site_fract_z
_atom_site_occupancy
Ba1 Ba 0.0000 0.0000 0.0000 1
Zr1 Zr 0.0000 0.5000 0.7500 1
Sb1 Sb 0.0000 0.0000 0.5000 1
Sb2 Sb 0.0000 0.5000 0.2500 1
```

No. 6
A relaxed structure of NbAlBN2. Source: Alexandria via LeMat-Bulk, functional GGA-PBEsol.

Values from the calculation:
V = 52.5 Å³ per cell
ΔE_f (raw) = 1.305 eV per atom
Fermi-level density of states = 2.56 states/eV/f.u.

Cell and atoms, written as CIF:
```
data_NbAlBN2
_cell_length_a 3.5383
_cell_length_b 3.5383
_cell_length_c 4.1926
_cell_angle_alpha 90.00
_cell_angle_beta 90.00
_cell_angle_gamma 90.00
_space_group_name_H-M_alt 'P 4/m m m'
_space_group_IT_number 123
_space_group_name_Hall '-P 4 2'
loop_
_atom_site_label
_atom_site_type_symbol
_atom_site_fract_x
_atom_site_fract_y
_atom_site_fract_z
_atom_site_occupancy
Nb1 Nb 0.0000 0.0000 0.0000 1
Al1 Al 0.5000 0.5000 0.0000 1
B1 B 0.5000 0.5000 0.5000 1
N1 N 0.0000 0.5000 0.5000 1
```

No. 7
A relaxed structure of LaSi3As. Source: Alexandria via LeMat-Bulk, functional GGA-PBEsol.

Values from the calculation:
V = 110.4 Å³ per cell
ΔE_f (raw) = 0.324 eV per atom
Fermi-level density of states = 4.46 states/eV/f.u.

Cell and atoms, written as CIF:
```
data_LaSi3As
_cell_length_a 4.7973
_cell_length_b 4.7973
_cell_length_c 4.7973
_cell_angle_alpha 90.00
_cell_angle_beta 90.00
_cell_angle_gamma 90.00
_space_group_name_H-M_alt 'P m -3 m'
_space_group_IT_number 221
_space_group_name_Hall '-P 4 2 3'
loop_
_atom_site_label
_atom_site_type_symbol
_atom_site_fract_x
_atom_site_fract_y
_atom_site_fract_z
_atom_site_occupancy
La1 La 0.0000 0.0000 0.0000 1
Si1 Si 0.0000 0.5000 0.5000 1
As1 As 0.5000 0.5000 0.5000 1
```

No. 8
A relaxed structure of KSr3. Source: Alexandria via LeMat-Bulk, functional GGA-PBEsol.

Values from the calculation:
E_form = 0.09 eV per atom
V = 437.9 Å³ per cell
Fermi-level density of states = 4.00 states/eV/f.u.
Polymorph energy (0 for the lowest one) = 0.036 eV per atom

Cell and atoms, written as CIF:
```
data_KSr3
_cell_length_a 8.5141
_cell_length_b 12.2137
_cell_length_c 4.2113
_cell_angle_alpha 90.00
_cell_angle_beta 90.00
_cell_angle_gamma 90.00
_space_group_name_H-M_alt 'C m m m'
_space_group_IT_number 65
_space_group_name_Hall '-C 2 2'
loop_
_atom_site_label
_atom_site_type_symbol
_atom_site_fract_x
_atom_site_fract_y
_atom_site_fract_z
_atom_site_occupancy
K1 K 0.0000 0.0000 0.0000 1
Sr1 Sr 0.0000 0.5000 0.0000 1
Sr2 Sr 0.2500 0.2500 0.5000 1
```

No. 9
A relaxed structure of MgReAu. Source: Alexandria via LeMat-Bulk, functional GGA-PBEsol.

Values from the calculation:
E_form = 0.21 eV per atom
V = 47.8 Å³ per cell
Fermi-level density of states = 1.08 states/eV/f.u.
Polymorph energy (0 for the lowest one) = 0.000 eV per atom

Cell and atoms, written as CIF:
```
data_MgReAu
_cell_length_a 2.8078
_cell_length_b 2.8078
_cell_length_c 7.0053
_cell_angle_alpha 90.00
_cell_angle_beta 90.00
_cell_angle_gamma 120.00
_space_group_name_H-M_alt 'P 3 m 1'
_space_group_IT_number 156
_space_group_name_Hall 'P 3 -2"'
loop_
_atom_site_label
_atom_site_type_symbol
_atom_site_fract_x
_atom_site_fract_y
_atom_site_fract_z
_atom_site_occupancy
Mg1 Mg 0.0000 0.0000 0.0000 1
Re1 Re 0.3333 0.6667 0.6696 1
Au1 Au 0.6667 0.3333 0.3321 1
```

No. 10
A relaxed structure of SmCo2P2. Source: Alexandria via LeMat-Bulk, functional GGA-PBEsol.

Values from the calculation:
E_form = -1.10 eV per atom
V = 138.1 Å³ per cell
Fermi-level density of states = 2.33 states/eV/f.u.

Cell and atoms, written as CIF:
```
data_SmCo2P2
_cell_length_a 3.8219
_cell_length_b 3.8219
_cell_length_c 9.4559
_cell_angle_alpha 90.00
_cell_angle_beta 90.00
_cell_angle_gamma 90.00
_space_group_name_H-M_alt 'I 4/m m m'
_space_group_IT_number 139
_space_group_name_Hall '-I 4 2'
loop_
_atom_site_label
_atom_site_type_symbol
_atom_site_fract_x
_atom_site_fract_y
_atom_site_fract_z
_atom_site_occupancy
Sm1 Sm 0.0000 0.0000 0.0000 1
Co1 Co 0.0000 0.5000 0.2500 1
P1 P 0.0000 0.0000 0.3702 1
```

No. 11
A relaxed structure of AsRu2Se. Source: Alexandria via LeMat-Bulk, functional GGA-PBEsol.

Values from the calculation:
V = 60.8 Å³ per cell
ΔE_f (raw) = 0.453 eV per atom
Fermi-level density of states = 4.07 states/eV/f.u.
Polymorph energy (0 for the lowest one) = 0.000 eV per atom

Cell and atoms, written as CIF:
```
data_AsRu2Se
_cell_length_a 2.9271
_cell_length_b 4.0747
_cell_length_c 5.0946
_cell_angle_alpha 90.00
_cell_angle_beta 90.00
_cell_angle_gamma 90.00
_space_group_name_H-M_alt 'P m m m'
_space_group_IT_number 47
_space_group_name_Hall '-P 2 2'
loop_
_atom_site_label
_atom_site_type_symbol
_atom_site_fract_x
_atom_site_fract_y
_atom_site_fract_z
_atom_site_occupancy
As1 As 0.0000 0.0000 0.0000 1
Ru1 Ru 0.0000 0.5000 0.5000 1
Ru2 Ru 0.5000 0.5000 0.0000 1
Se1 Se 0.5000 0.0000 0.5000 1
```

No. 12
A relaxed structure of ZnCu2Ni. Source: Alexandria via LeMat-Bulk, functional GGA-PBEsol.

Values from the calculation:
E_form = -0.10 eV per atom
V = 45.6 Å³ per cell
Fermi-level density of states = 1.33 states/eV/f.u.

Cell and atoms, written as CIF:
```
data_ZnCu2Ni
_cell_length_a 2.5695
_cell_length_b 3.4845
_cell_length_c 5.0953
_cell_angle_alpha 90.00
_cell_angle_beta 90.00
_cell_angle_gamma 90.00
_space_group_name_H-M_alt 'P m m 2'
_space_group_IT_number 25
_space_group_name_Hall 'P 2 -2'
loop_
_atom_site_label
_atom_site_type_symbol
_atom_site_fract_x
_atom_site_fract_y
_atom_site_fract_z
_atom_site_occupancy
Zn1 Zn 0.0000 0.0000 0.0000 1
Cu1 Cu 0.0000 0.0000 0.5090 1
Cu2 Cu 0.5000 0.5000 0.2632 1
Ni1 Ni 0.5000 0.5000 0.7571 1
```

Which of these has the lowest V? ZnCu2Ni

Which value of Fermi-level density of states does entry 2 give? 0.96 states/eV/f.u.

Which of these has the highest Fermi-level density of states? LaSi3As